Er6GaSe5: relaxed, PBE-GGA.

a = 7.043 Å, b = 7.043 Å, c = 7.041 Å
α = 99.55°, β = 99.55°, γ = 119.89°
Positions (direct):
Er (0.080, 0.403, 0.742)
Er (0.241, 0.241, 0.256)
Er (0.403, 0.080, 0.742)
Er (0.597, 0.920, 0.258)
Er (0.759, 0.759, 0.744)
Er (0.920, 0.597, 0.258)
Ga (0.000, 0.000, 0.500)
Se (0.171, 0.829, 0.000)
Se (0.334, 0.666, 0.500)
Se (0.500, 0.500, 0.000)
Se (0.666, 0.334, 0.500)
Se (0.829, 0.171, 0.000)

Properties
uncorrected formation energy = -1566 meV per atom
magnetization = 0.00 μB per cell
V = 23.80 A^3/atom